Record 1
Here is NdCuN after structural relaxation from the Alexandria database. Energies are from GGA-PBE.

a = 3.6199 Å, b = 15.0544 Å, c = 3.7075 Å
α = 90.00°, β = 90.00°, γ = 90.00°
Closest atoms and distances in Å follow each position.
Element x y z (fractional)
Nd  0.0000  0.1651  0.2500  5 N 2.37-2.60
Nd  0.0000  0.8349  0.7500  5 N 2.37-2.60
Nd  0.5000  0.3349  0.7500  5 N 2.37-2.60
Nd  0.5000  0.6651  0.2500  5 N 2.37-2.60
Cu  0.0000  0.4504  0.2500  1 N 1.93
Cu  0.0000  0.5496  0.7500  1 N 1.93
Cu  0.5000  0.0496  0.7500  1 N 1.93
Cu  0.5000  0.9504  0.2500  1 N 1.93
N  0.0000  0.3223  0.2500  1 Cu 1.93
N  0.0000  0.6777  0.7500  1 Cu 1.93
N  0.5000  0.1777  0.7500  1 Cu 1.93
N  0.5000  0.8223  0.2500  1 Cu 1.93

Properties
**Energy relative to the elements, uncorrected**: -0.72 eV per atom

=====

Record 2
Here is Mn2ZnCrH after structural relaxation from the Alexandria database. Energies are from GGA-PBE.

a = 3.7816 Å, b = 3.7816 Å, c = 3.6888 Å
α = 90.00°, β = 90.00°, γ = 90.00°
Closest atoms and distances in Å follow each position.
Element x y z (fractional)
Mn  0.0000  0.5000  0.0000  2 H 1.89
Mn  0.5000  0.0000  0.0000  2 H 1.89
Zn  0.0000  0.0000  0.5000  8 Mn 2.64, 4 Cr 2.67
Cr  0.5000  0.5000  0.5000  2 H 1.84
H  0.5000  0.5000  0.0000  2 Cr 1.84, 4 Mn 1.89

Properties
**Raw total energy**: -0.2377 Ha/atom

=====

Record 3
Here is YTh2ReC4 after structural relaxation from the Alexandria database. Energies are from GGA-PBE.

a = 6.3289 Å, b = 6.3289 Å, c = 12.8159 Å
α = 90.00°, β = 90.00°, γ = 146.82°
Closest atoms and distances in Å follow each position.
Element x y z (fractional)
Y  0.1049  0.8951  0.7500  6 C 2.79-2.91
Y  0.8951  0.1049  0.2500  6 C 2.79-2.91
Th  0.3667  0.6333  0.5390  6 C 2.48-2.77
Th  0.3667  0.6333  0.9610  6 C 2.48-2.77
Th  0.6333  0.3667  0.0390  6 C 2.48-2.77
Th  0.6333  0.3667  0.4610  6 C 2.48-2.77
Re  0.1643  0.8357  0.2500  4 C 1.92-2.06
Re  0.8357  0.1643  0.7500  4 C 1.92-2.06
C  0.0000  0.0000  0.0000  4 Th 2.48
C  0.0000  0.0000  0.5000  4 Th 2.48
C  0.2677  0.7323  0.1365  1 Re 1.92
C  0.2677  0.7323  0.3635  1 Re 1.92
C  0.4169  0.5831  0.7500  2 Re 2.06
C  0.5831  0.4169  0.2500  2 Re 2.06
C  0.7323  0.2677  0.6365  1 Re 1.92
C  0.7323  0.2677  0.8635  1 Re 1.92

Properties
**Formation energy from the elements**: -14.4 meV per atom

=====

Record 4
Here is DyYTh2As4 after structural relaxation from the Alexandria database. Energies are from GGA-PBE.

a = 7.2193 Å, b = 4.2022 Å, c = 7.2780 Å
α = 90.00°, β = 109.70°, γ = 90.00°
Closest atoms and distances in Å follow each position.
Element x y z (fractional)
Dy  0.0000  0.0000  0.0000  6 As 2.93
Y  0.0000  0.5000  0.5000  6 As 2.93-2.94
Th  0.5000  0.0000  0.5000  6 As 2.99
Th  0.5000  0.5000  0.0000  6 As 2.99
As  0.2424  0.5000  0.2471  2 Dy 2.93, 1 Y 2.94, 3 Th 2.99
As  0.2425  0.0000  0.7478  1 Dy 2.93, 2 Y 2.93, 3 Th 2.99
As  0.7575  0.0000  0.2522  1 Dy 2.93, 2 Y 2.93, 3 Th 2.99
As  0.7576  0.5000  0.7529  2 Dy 2.93, 1 Y 2.94, 3 Th 2.99

Properties
**Formation energy from the elements**: -1474.7 meV per atom

=====

Record 5
Here is V2Ir4Rh after structural relaxation from the Alexandria database. Energies are from GGA-PBE.

a = 4.7023 Å, b = 4.7023 Å, c = 10.4759 Å
α = 90.00°, β = 90.00°, γ = 90.00°
Closest atoms and distances in Å follow each position.
Element x y z (fractional)
V  0.0000  0.0000  0.1416  8 Ir 2.61-2.78
V  0.0000  0.0000  0.8584  8 Ir 2.61-2.78
V  0.5000  0.5000  0.3584  8 Ir 2.61-2.78
V  0.5000  0.5000  0.6416  8 Ir 2.61-2.78
Ir  0.0000  0.5000  0.0000  2 Rh 2.35, 2 Ir 2.62
Ir  0.0000  0.5000  0.2500  4 V 2.61, 2 Ir 2.62
Ir  0.0000  0.5000  0.5000  2 Rh 2.35, 2 Ir 2.62
Ir  0.0000  0.5000  0.7500  4 V 2.61, 2 Ir 2.62
Ir  0.5000  0.0000  0.0000  2 Rh 2.35, 2 Ir 2.62
Ir  0.5000  0.0000  0.2500  4 V 2.61, 2 Ir 2.62
Ir  0.5000  0.0000  0.5000  2 Rh 2.35, 2 Ir 2.62
Ir  0.5000  0.0000  0.7500  4 V 2.61, 2 Ir 2.62
Rh  0.0000  0.0000  0.5000  4 Ir 2.35
Rh  0.5000  0.5000  0.0000  4 Ir 2.35

Properties
**Formation energy from the elements**: 569.6 meV per atom

=====

Record 6
Here is LiS3F after structural relaxation from the Alexandria database. Energies are from GGA-PBE.

a = 4.2437 Å, b = 4.2437 Å, c = 4.2437 Å
α = 90.00°, β = 90.00°, γ = 90.00°
Closest atoms and distances in Å follow each position.
Element x y z (fractional)
Li  0.0000  0.0000  0.0000  6 S 2.12
S  0.0000  0.0000  0.5000  2 Li 2.12
S  0.0000  0.5000  0.0000  2 Li 2.12
S  0.5000  0.0000  0.0000  2 Li 2.12
F  0.5000  0.5000  0.5000  12 S 3.00

Properties
**Energy relative to the elements, uncorrected**: 0.55 eV per atom

=====

Q: Which formula does entry 1 have?
A: NdCuN